# 1
This record from OQMD via LeMat-Bulk describes a relaxed structure of YEr2Tl3AgPd2. The functional is PBE.

Structure (POSCAR):
```
YEr2Tl3AgPd2
1.0
3.746 0.000 0.000
0.000 6.864 3.956
0.000 -6.864 3.956
Y Er Tl Ag Pd
1 2 3 1 2
Cartesian
0.000 0.000 0.000 Y
0.000 -2.788 4.807 Er
0.000 2.788 4.807 Er
1.873 -1.883 2.113 Tl
1.873 1.883 2.113 Tl
1.873 0.000 5.378 Tl
0.000 0.000 3.212 Ag
1.873 -4.552 3.192 Pd
1.873 4.552 3.192 Pd
```

Values from the calculation:
- uncorrected energy (hartree per atom) = -0.1665

---

# 2
This record from OQMD via LeMat-Bulk describes a relaxed structure of PmEr4Ag5. The functional is PBE.

Structure (POSCAR):
```
PmEr4Ag5
1.0
3.602 0.000 0.000
0.000 3.602 0.000
0.000 0.000 18.196
Pm Er Ag
1 4 5
Cartesian
0.000 0.000 0.000 Pm
0.000 0.000 3.727 Er
0.000 0.000 7.306 Er
0.000 0.000 10.890 Er
0.000 0.000 14.468 Er
1.801 1.801 1.993 Ag
1.801 1.801 5.511 Ag
1.801 1.801 9.098 Ag
1.801 1.801 12.684 Ag
1.801 1.801 16.202 Ag
```

Values from the calculation:
- uncorrected energy (hartree per atom) = -0.1487
- formation energy (kJ/mol of atoms) = -32.2

---

# 3
This record from OQMD via LeMat-Bulk describes a relaxed structure of PrEr4Ag5. The functional is PBE.

Structure (POSCAR):
```
PrEr4Ag5
1.0
3.610 0.000 0.000
0.000 3.610 0.000
0.000 0.000 18.287
Pr Er Ag
1 4 5
Cartesian
0.000 0.000 0.000 Pr
0.000 0.000 3.780 Er
0.000 0.000 7.353 Er
0.000 0.000 10.934 Er
0.000 0.000 14.507 Er
1.805 1.805 2.072 Ag
1.805 1.805 5.557 Ag
1.805 1.805 9.144 Ag
1.805 1.805 12.730 Ag
1.805 1.805 16.215 Ag
```

Values from the calculation:
- uncorrected energy (hartree per atom) = -0.1486
- formation energy (kJ/mol of atoms) = -31.7

---

# 4
This record from OQMD via LeMat-Bulk describes a relaxed structure of Er5Ag4Pt. The functional is PBE.

Structure (POSCAR):
```
Er5Ag4Pt
1.0
3.543 0.000 0.000
0.000 3.543 0.000
0.000 0.000 18.044
Er Ag Pt
5 4 1
Cartesian
0.000 0.000 0.000 Er
0.000 0.000 3.680 Er
0.000 0.000 7.376 Er
0.000 0.000 10.668 Er
0.000 0.000 14.364 Er
1.772 1.772 1.837 Ag
1.772 1.772 5.480 Ag
1.772 1.772 12.564 Ag
1.772 1.772 16.207 Ag
1.772 1.772 9.022 Pt
```

Values from the calculation:
- uncorrected energy (hartree per atom) = -0.1673
- formation energy (kJ/mol of atoms) = -51.5

---

Q: uncorrected energy of number 2 (PmEr4Ag5)?
A: -0.1487 hartree per atom

---

Q: The lowest uncorrected energy belongs to which entry?
A: Er5Ag4Pt

---

Q: uncorrected energy of number 4 (Er5Ag4Pt)?
A: -0.1673 hartree per atom

---

Q: What is the formula in the first record?
A: YEr2Tl3AgPd2